Entry 1:
Here is crystalline Li2CaLa at its relaxed geometry from the Alexandria database. Energies are from GGA-PBE.

```
data_Li2CaLa
_symmetry_space_group_name_H-M 'P 1'
_symmetry_Int_Tables_number 1
_cell_length_a 6.927
_cell_length_b 6.927
_cell_length_c 6.927
_cell_angle_alpha 104.50
_cell_angle_beta 104.50
_cell_angle_gamma 119.95
loop_
_symmetry_equiv_pos_as_xyz
'x,y,z'
loop_
_atom_site_label
_atom_site_fract_x
_atom_site_fract_y
_atom_site_fract_z
Li1 0.120 0.125 0.495
Li2 0.375 0.880 0.005
Li3 0.630 0.625 0.505
Li4 0.875 0.370 0.995
Ca1 0.000 0.000 0.000
Ca2 0.750 0.250 0.500
La1 0.250 0.750 0.500
La2 0.500 0.500 0.000
```

Values from the calculation:
VASP energy = -2.3598 eV per atom
Energy of formation = 0.33 eV per atom

***

Entry 2:
Here is crystalline LiCaLa2 at its relaxed geometry from the Alexandria database. Energies are from GGA-PBE.

```
data_LiCaLa2
_symmetry_space_group_name_H-M 'P 1'
_symmetry_Int_Tables_number 1
_cell_length_a 5.823
_cell_length_b 5.823
_cell_length_c 5.823
_cell_angle_alpha 60.00
_cell_angle_beta 60.00
_cell_angle_gamma 60.00
loop_
_symmetry_equiv_pos_as_xyz
'x,y,z'
loop_
_atom_site_label
_atom_site_fract_x
_atom_site_fract_y
_atom_site_fract_z
Li1 0.000 0.000 0.000
Ca1 0.500 0.500 0.500
La1 0.250 0.250 0.250
La2 0.750 0.750 0.750
```

Values from the calculation:
VASP energy = -3.2553 eV per atom
Energy of formation = 0.19 eV per atom

***

Entry 3:
Here is crystalline Li2CaLa at its relaxed geometry from the Alexandria database. Energies are from GGA-PBE.

```
data_Li2CaLa
_symmetry_space_group_name_H-M 'P 1'
_symmetry_Int_Tables_number 1
_cell_length_a 5.517
_cell_length_b 5.517
_cell_length_c 5.517
_cell_angle_alpha 60.00
_cell_angle_beta 60.00
_cell_angle_gamma 60.00
loop_
_symmetry_equiv_pos_as_xyz
'x,y,z'
loop_
_atom_site_label
_atom_site_fract_x
_atom_site_fract_y
_atom_site_fract_z
Li1 0.000 0.000 0.000
Li2 0.250 0.250 0.250
Ca1 0.500 0.500 0.500
La1 0.750 0.750 0.750
```

Values from the calculation:
VASP energy = -2.4663 eV per atom
Energy of formation = 0.22 eV per atom

***

Entry 4:
Here is crystalline LiCaLa at its relaxed geometry from the Alexandria database. Energies are from GGA-PBE.

```
data_LiCaLa
_symmetry_space_group_name_H-M 'P 1'
_symmetry_Int_Tables_number 1
_cell_length_a 8.853
_cell_length_b 8.620
_cell_length_c 3.596
_cell_angle_alpha 81.77
_cell_angle_beta 74.52
_cell_angle_gamma 23.71
loop_
_symmetry_equiv_pos_as_xyz
'x,y,z'
loop_
_atom_site_label
_atom_site_fract_x
_atom_site_fract_y
_atom_site_fract_z
Li1 0.000 0.000 0.000
Ca1 0.657 0.657 0.343
La1 0.342 0.342 0.658
```

Values from the calculation:
VASP energy = -2.8272 eV per atom
Energy of formation = 0.12 eV per atom

***

Entry 5:
Here is crystalline LiCaLa2 at its relaxed geometry from the Alexandria database. Energies are from GGA-PBE.

```
data_LiCaLa2
_symmetry_space_group_name_H-M 'P 1'
_symmetry_Int_Tables_number 1
_cell_length_a 6.656
_cell_length_b 6.656
_cell_length_c 3.563
_cell_angle_alpha 90.00
_cell_angle_beta 90.00
_cell_angle_gamma 117.23
loop_
_symmetry_equiv_pos_as_xyz
'x,y,z'
loop_
_atom_site_label
_atom_site_fract_x
_atom_site_fract_y
_atom_site_fract_z
Li1 0.000 0.000 0.000
Ca1 0.500 0.500 0.000
La1 0.000 0.500 0.500
La2 0.500 0.000 0.500
```

Values from the calculation:
VASP energy = -3.2593 eV per atom
Energy of formation = 0.18 eV per atom

***

Entry 6:
Here is crystalline LiCaLa at its relaxed geometry from the Alexandria database. Energies are from GGA-PBE.

```
data_LiCaLa
_symmetry_space_group_name_H-M 'P 1'
_symmetry_Int_Tables_number 1
_cell_length_a 5.549
_cell_length_b 5.549
_cell_length_c 5.549
_cell_angle_alpha 60.00
_cell_angle_beta 60.00
_cell_angle_gamma 60.00
loop_
_symmetry_equiv_pos_as_xyz
'x,y,z'
loop_
_atom_site_label
_atom_site_fract_x
_atom_site_fract_y
_atom_site_fract_z
Li1 0.000 0.000 0.000
Ca1 0.500 0.500 0.500
La1 0.750 0.750 0.750
```

Values from the calculation:
VASP energy = -2.1797 eV per atom
Energy of formation = 0.77 eV per atom

***

Entry 7:
Here is crystalline Li2Ca2La at its relaxed geometry from the Alexandria database. Energies are from GGA-PBE.

```
data_Li2Ca2La
_symmetry_space_group_name_H-M 'P 1'
_symmetry_Int_Tables_number 1
_cell_length_a 8.942
_cell_length_b 8.942
_cell_length_c 4.096
_cell_angle_alpha 90.00
_cell_angle_beta 90.00
_cell_angle_gamma 90.00
loop_
_symmetry_equiv_pos_as_xyz
'x,y,z'
loop_
_atom_site_label
_atom_site_fract_x
_atom_site_fract_y
_atom_site_fract_z
Li1 0.123 0.377 0.000
Li2 0.377 0.877 0.000
Li3 0.623 0.123 0.000
Li4 0.877 0.623 0.000
Ca1 0.172 0.672 0.500
Ca2 0.328 0.172 0.500
Ca3 0.672 0.828 0.500
Ca4 0.828 0.328 0.500
La1 0.000 0.000 0.000
La2 0.500 0.500 0.000
```

Values from the calculation:
VASP energy = -2.4538 eV per atom
Energy of formation = 0.10 eV per atom

***

Entry 8:
Here is crystalline LiCaLa2 at its relaxed geometry from the Alexandria database. Energies are from GGA-PBE.

```
data_LiCaLa2
_symmetry_space_group_name_H-M 'P 1'
_symmetry_Int_Tables_number 1
_cell_length_a 3.599
_cell_length_b 3.599
_cell_length_c 11.645
_cell_angle_alpha 90.00
_cell_angle_beta 90.00
_cell_angle_gamma 111.93
loop_
_symmetry_equiv_pos_as_xyz
'x,y,z'
loop_
_atom_site_label
_atom_site_fract_x
_atom_site_fract_y
_atom_site_fract_z
Li1 0.000 0.000 0.000
Ca1 0.500 0.500 0.231
La1 0.000 0.000 0.505
La2 0.500 0.500 0.766
```

Values from the calculation:
VASP energy = -3.3289 eV per atom
Energy of formation = 0.11 eV per atom

***

Entry 9:
Here is crystalline LiCaLa2 at its relaxed geometry from the Alexandria database. Energies are from GGA-PBE.

```
data_LiCaLa2
_symmetry_space_group_name_H-M 'P 1'
_symmetry_Int_Tables_number 1
_cell_length_a 12.011
_cell_length_b 12.011
_cell_length_c 12.011
_cell_angle_alpha 17.66
_cell_angle_beta 17.66
_cell_angle_gamma 17.66
loop_
_symmetry_equiv_pos_as_xyz
'x,y,z'
loop_
_atom_site_label
_atom_site_fract_x
_atom_site_fract_y
_atom_site_fract_z
Li1 0.000 0.000 0.000
Ca1 0.500 0.500 0.500
La1 0.256 0.256 0.256
La2 0.744 0.744 0.744
```

Values from the calculation:
VASP energy = -3.3289 eV per atom
Energy of formation = 0.11 eV per atom

***

Entry 10:
Here is crystalline LiCaLa2 at its relaxed geometry from the Alexandria database. Energies are from GGA-PBE.

```
data_LiCaLa2
_symmetry_space_group_name_H-M 'P 1'
_symmetry_Int_Tables_number 1
_cell_length_a 7.038
_cell_length_b 7.038
_cell_length_c 3.619
_cell_angle_alpha 101.37
_cell_angle_beta 101.37
_cell_angle_gamma 122.20
loop_
_symmetry_equiv_pos_as_xyz
'x,y,z'
loop_
_atom_site_label
_atom_site_fract_x
_atom_site_fract_y
_atom_site_fract_z
Li1 0.000 0.000 0.000
Ca1 0.500 0.500 0.000
La1 0.000 0.500 0.500
La2 0.500 0.000 0.500
```

Values from the calculation:
VASP energy = -3.3082 eV per atom
Energy of formation = 0.13 eV per atom

***

Entry 11:
Here is crystalline LiCaLa at its relaxed geometry from the Alexandria database. Energies are from GGA-PBE.

```
data_LiCaLa
_symmetry_space_group_name_H-M 'P 1'
_symmetry_Int_Tables_number 1
_cell_length_a 5.379
_cell_length_b 5.379
_cell_length_c 5.379
_cell_angle_alpha 60.00
_cell_angle_beta 60.00
_cell_angle_gamma 60.00
loop_
_symmetry_equiv_pos_as_xyz
'x,y,z'
loop_
_atom_site_label
_atom_site_fract_x
_atom_site_fract_y
_atom_site_fract_z
Li1 0.000 0.000 0.000
Ca1 0.250 0.250 0.250
La1 0.750 0.750 0.750
```

Values from the calculation:
VASP energy = -2.5721 eV per atom
Energy of formation = 0.38 eV per atom

***

Entry 12:
Here is crystalline LiCaLa2 at its relaxed geometry from the Alexandria database. Energies are from GGA-PBE.

```
data_LiCaLa2
_symmetry_space_group_name_H-M 'P 1'
_symmetry_Int_Tables_number 1
_cell_length_a 3.925
_cell_length_b 3.925
_cell_length_c 8.881
_cell_angle_alpha 90.00
_cell_angle_beta 90.00
_cell_angle_gamma 90.00
loop_
_symmetry_equiv_pos_as_xyz
'x,y,z'
loop_
_atom_site_label
_atom_site_fract_x
_atom_site_fract_y
_atom_site_fract_z
Li1 0.000 0.000 0.000
Ca1 0.000 0.000 0.500
La1 0.500 0.500 0.194
La2 0.500 0.500 0.806
```

Values from the calculation:
VASP energy = -3.3296 eV per atom
Energy of formation = 0.11 eV per atom